No. 1
A plane-wave DFT calculation with PBE was carried out for a relaxed structure of Y2CoAuC.

Computed properties:
E_form	-0.572	eV/atom
electronic total energy	-7.079	eV per atom

POSCAR file:
```
Y2CoAuC
1.0
5.022 0.000 0.000
0.000 5.022 0.000
0.000 0.000 3.644
C Co Y Au
1 1 2 1
direct
0.000 0.000 0.000
0.000 0.000 0.500
0.500 0.000 0.000
0.000 0.500 0.000
0.500 0.500 0.500
```

***

No. 2
A plane-wave DFT calculation with PBE was carried out for a relaxed structure of Nd2NpN4.

Computed properties:
ΔE_f (raw)	-1.32	eV/atom
electronic total energy	-9.290	eV per atom
excess energy over the best structure of this formula in the dataset	0	meV per atom

POSCAR file:
```
Nd2NpN4
1.0
3.592 0.000 0.000
0.000 6.024 0.000
0.000 0.000 9.960
N Np Nd
8 2 4
direct
0.000 0.865 0.313
0.000 0.135 0.687
0.500 0.220 0.453
0.500 0.780 0.547
0.500 0.720 0.047
0.000 0.635 0.813
0.000 0.365 0.187
0.500 0.280 0.953
0.000 0.000 0.500
0.000 0.500 0.000
0.500 0.432 0.678
0.500 0.568 0.322
0.500 0.068 0.178
0.500 0.932 0.822
```

***

No. 3
A plane-wave DFT calculation with PBE was carried out for a relaxed structure of MnZnW.

Computed properties:
E_form	0.229	eV/atom
electronic total energy	-7.570	eV per atom
excess energy over the best structure of this formula in the dataset	37	meV per atom

POSCAR file:
```
MnZnW
1.0
-5.466 -2.053 2.343
-3.757 -4.997 0.706
5.466 3.113 0.108
Mn W Zn
1 1 1
direct
0.004 0.004 0.000
0.336 0.336 0.000
0.661 0.661 0.000
```

***

No. 4
A plane-wave DFT calculation with PBE was carried out for a relaxed structure of Pr3Ga2Pd2.

Computed properties:
E_form	-0.730	eV/atom
electronic total energy	-5.127	eV per atom

POSCAR file:
```
Pr3Ga2Pd2
1.0
5.813 0.000 0.000
0.000 8.326 0.000
0.000 0.000 13.750
Pr Pd Ga
12 8 8
direct
0.141 0.894 0.899
0.358 0.252 0.750
0.859 0.106 0.101
0.141 0.606 0.399
0.642 0.748 0.250
0.859 0.106 0.399
0.358 0.248 0.250
0.859 0.394 0.899
0.642 0.752 0.750
0.141 0.894 0.601
0.141 0.606 0.101
0.859 0.394 0.601
0.378 0.537 0.908
0.622 0.037 0.908
0.622 0.037 0.592
0.378 0.963 0.408
0.378 0.963 0.092
0.378 0.537 0.592
0.622 0.463 0.408
0.622 0.463 0.092
0.342 0.250 0.500
0.658 0.750 0.500
0.856 0.108 0.750
0.144 0.608 0.750
0.342 0.250 0.000
0.856 0.392 0.250
0.144 0.892 0.250
0.658 0.750 0.000
```

***

No. 5
A plane-wave DFT calculation with PBE was carried out for a relaxed structure of In4TeAu.

Computed properties:
ΔE_f (raw)	0.20	eV/atom
electronic total energy	-2.692	eV per atom

POSCAR file:
```
In4TeAu
1.0
0.000 4.392 4.392
4.392 0.000 4.392
4.392 4.392 0.000
In Au Te
4 1 1
direct
0.375 0.375 0.876
0.375 0.375 0.375
0.876 0.375 0.375
0.375 0.876 0.375
0.000 0.000 0.000
0.750 0.750 0.750
```

***

No. 6
A plane-wave DFT calculation with PBE was carried out for a relaxed structure of Ag2TeAs.

Computed properties:
ΔE_f (raw)	0.26	eV/atom
electronic total energy	-3.118	eV per atom
excess energy over the best structure of this formula in the dataset	168	meV per atom

POSCAR file:
```
Ag2TeAs
1.0
4.058 0.000 0.000
0.000 4.815 0.000
0.000 0.000 4.430
Ag As Te
2 1 1
direct
0.000 0.000 0.000
0.500 0.500 0.000
0.500 0.000 0.500
0.000 0.500 0.500
```

***

No. 7
A plane-wave DFT calculation with PBE was carried out for a relaxed structure of Hf2UCu.

Computed properties:
E_form	0.066	eV/atom
electronic total energy	-8.757	eV per atom
excess energy over the best structure of this formula in the dataset	0	meV per atom

POSCAR file:
```
Hf2UCu
1.0
-0.116 -2.413 -1.862
-0.058 -1.861 2.416
-8.432 0.353 0.068
U Hf Cu
1 2 1
direct
0.500 0.500 0.000
0.000 0.000 0.283
0.000 0.000 0.717
0.500 0.500 0.500
```